The following is a DFT calculation (GGA-PBE) of crystalline CaAs2I8 at its relaxed geometry.

extended XYZ file:
```
11
Lattice="5.957 -6.466 0.000 5.957 6.466 0.000 -1.108 0.000 7.736" Properties=species:S:1:pos:R:3 pbc="T T T"
Ca 0.000 0.000 0.000
As 1.668 0.000 4.715
As 9.138 0.000 3.022
I 4.421 4.317 1.752
I 2.497 0.000 1.943
I 6.385 4.317 5.984
I 4.022 0.000 5.771
I 6.784 0.000 1.966
I 4.421 -4.317 1.752
I 8.309 0.000 5.793
I 6.385 -4.317 5.984
```

Properties
electronic total energy = -29.20 eV/cell
formation energy without anion corrections = -5.501 eV per formula unit
distance to the lowest polymorph of the same formula = 46 meV per atom
space group = C2/m, No. 12

---

The following is a DFT calculation (GGA-PBE) of crystalline CaAs2I at its relaxed geometry.

extended XYZ file:
```
8
Lattice="-3.008 3.008 8.020 3.008 -3.008 8.020 3.008 3.008 -8.020" Properties=species:S:1:pos:R:3 pbc="T T T"
Ca 0.000 0.000 0.000
Ca 0.000 3.008 4.010
As 1.504 -1.407 6.015
As 1.601 1.504 2.005
As 1.504 4.415 -2.005
As 1.407 1.504 10.024
I 3.008 0.000 4.010
I 0.000 0.000 8.020
```

Properties
electronic total energy = -24.27 eV/cell
formation energy without anion corrections = 0.717 eV per formula unit
distance to the lowest polymorph of the same formula = 16 meV per atom
space group = I-42d, No. 122

---

The following is a DFT calculation (GGA-PBE) of crystalline Ca3AsI3 at its relaxed geometry.

extended XYZ file:
```
14
Lattice="9.046 0.000 0.000 0.000 4.426 0.000 -0.196 0.000 12.544" Properties=species:S:1:pos:R:3 pbc="T T T"
Ca 0.758 1.106 4.893
Ca 1.010 1.106 10.747
Ca 2.927 3.319 7.888
Ca 5.923 1.106 4.656
Ca 7.840 3.319 1.797
Ca 8.092 3.319 7.651
As 1.007 1.106 7.840
As 7.843 3.319 4.704
I 1.073 1.106 1.553
I 3.206 3.319 11.016
I 3.354 3.319 4.689
I 5.496 1.106 7.855
I 5.644 1.106 1.528
I 7.777 3.319 10.991
```

Properties
electronic total energy = -51.75 eV/cell
formation energy without anion corrections = -10.571 eV per formula unit
space group = P2_1/m, No. 11

---

The following is a DFT calculation (GGA-PBE) of crystalline Ca2InAsI at its relaxed geometry.

extended XYZ file:
```
5
Lattice="5.790 0.000 0.000 0.000 5.790 0.000 0.000 0.000 5.916" Properties=species:S:1:pos:R:3 pbc="T T T"
Ca 0.000 2.895 0.000
Ca 2.895 0.000 0.000
In 0.000 0.000 2.958
As 2.895 2.895 2.958
I 0.000 0.000 0.000
```

Properties
electronic total energy = -12.23 eV/cell
formation energy without anion corrections = 0.711 eV per formula unit
space group = P4/mmm, No. 123

---

The following is a DFT calculation (GGA-PBE) of crystalline CaAs2IrI at its relaxed geometry.

extended XYZ file:
```
5
Lattice="5.355 0.000 0.000 0.000 5.355 0.000 0.000 0.000 5.229" Properties=species:S:1:pos:R:3 pbc="T T T"
Ca 0.000 0.000 0.000
As 0.000 2.678 0.000
As 2.678 0.000 0.000
Ir 0.000 0.000 2.615
I 2.678 2.678 2.615
```

Properties
electronic total energy = -14.90 eV/cell
formation energy without anion corrections = 6.811 eV per formula unit
space group = P4/mmm, No. 123

---

The following is a DFT calculation (GGA-PBE) of crystalline KCaAsI6 at its relaxed geometry.

extended XYZ file:
```
9
Lattice="7.833 0.000 0.000 -3.917 6.784 0.000 0.000 0.000 7.743" Properties=species:S:1:pos:R:3 pbc="T T T"
K 0.000 0.000 0.000
Ca 0.000 4.523 3.872
As 3.917 2.261 3.872
I 2.883 0.154 5.585
I 1.575 2.420 2.159
I 4.951 0.154 2.159
I 2.608 4.210 5.585
I 6.259 2.420 5.585
I 5.225 4.210 2.159
```

Properties
electronic total energy = -25.36 eV/cell
formation energy without anion corrections = -8.310 eV per formula unit
space group = P312, No. 149

---

The following is a DFT calculation (GGA-PBE) of crystalline CaMn2AsI at its relaxed geometry.

extended XYZ file:
```
5
Lattice="4.650 0.000 0.000 0.000 4.650 0.000 0.000 0.000 7.341" Properties=species:S:1:pos:R:3 pbc="T T T"
Ca 0.000 0.000 0.000
Mn 0.000 2.325 3.670
Mn 2.325 0.000 3.670
As 2.325 2.325 3.670
I 2.325 2.325 0.000
```

Properties
electronic total energy = -25.66 eV/cell
formation energy without anion corrections = 0.878 eV per formula unit
space group = P4/mmm, No. 123

---

The following is a DFT calculation (GGA-PBE) of crystalline CaAsIN2 at its relaxed geometry.

extended XYZ file:
```
5
Lattice="4.657 0.000 0.000 0.000 4.657 0.000 0.000 0.000 6.408" Properties=species:S:1:pos:R:3 pbc="T T T"
Ca 0.000 0.000 0.000
As 2.328 2.328 3.204
I 0.000 0.000 3.204
N 0.000 2.328 0.000
N 2.328 0.000 0.000
```

Properties
electronic total energy = -17.95 eV/cell
formation energy without anion corrections = 6.900 eV per formula unit
distance to the lowest polymorph of the same formula = 635 meV per atom
space group = P4/mmm, No. 123

---

The following is a DFT calculation (GGA-PBE) of crystalline CaAsIN2 at its relaxed geometry.

extended XYZ file:
```
5
Lattice="4.126 0.000 0.000 0.000 4.126 0.000 0.000 0.000 5.844" Properties=species:S:1:pos:R:3 pbc="T T T"
Ca 0.000 0.000 0.000
As 2.063 2.063 2.922
I 2.063 2.063 0.000
N 0.000 2.063 2.922
N 2.063 0.000 2.922
```

Properties
electronic total energy = -21.13 eV/cell
formation energy without anion corrections = 3.727 eV per formula unit
distance to the lowest polymorph of the same formula = 0 meV per atom
space group = P4/mmm, No. 123

---

The following is a DFT calculation (GGA-PBE) of crystalline CaAsI2N at its relaxed geometry.

extended XYZ file:
```
5
Lattice="6.099 0.000 0.000 0.000 6.099 0.000 0.000 0.000 3.777" Properties=species:S:1:pos:R:3 pbc="T T T"
Ca 0.000 0.000 0.000
As 3.049 3.049 1.889
I 0.000 3.049 1.889
I 3.049 0.000 1.889
N 3.049 3.049 0.000
```

Properties
electronic total energy = -17.95 eV/cell
formation energy without anion corrections = 0.123 eV per formula unit
distance to the lowest polymorph of the same formula = 0 meV per atom
space group = P4/mmm, No. 123

---

The following is a DFT calculation (GGA-PBE) of crystalline CaAsI2N at its relaxed geometry.

extended XYZ file:
```
5
Lattice="6.042 0.000 0.000 0.000 6.042 0.000 0.000 0.000 4.161" Properties=species:S:1:pos:R:3 pbc="T T T"
Ca 0.000 0.000 0.000
As 3.021 3.021 2.080
I 0.000 3.021 0.000
I 3.021 0.000 0.000
N 0.000 0.000 2.080
```

Properties
electronic total energy = -14.37 eV/cell
formation energy without anion corrections = 3.709 eV per formula unit
distance to the lowest polymorph of the same formula = 717 meV per atom
space group = P4/mmm, No. 123

---

The following is a DFT calculation (GGA-PBE) of crystalline CaNbAsI2 at its relaxed geometry.

extended XYZ file:
```
5
Lattice="5.327 0.000 0.000 0.000 5.327 0.000 0.000 0.000 6.559" Properties=species:S:1:pos:R:3 pbc="T T T"
Ca 0.000 0.000 0.000
Nb 0.000 0.000 3.279
As 2.663 2.663 0.000
I 0.000 2.663 3.279
I 2.663 0.000 3.279
```

Properties
electronic total energy = -17.49 eV/cell
formation energy without anion corrections = 2.331 eV per formula unit
space group = P4/mmm, No. 123